VASP calculation (PBE-GGA) on a geometry-optimized Cs2NaGaF6 structure.

As for the space-group type: No. 225. The calculation puts the calculated total energy at -4.54 eV/atom. The calculation puts the magnetic moment at 0.0 μB/f.u.

Cell lengths 6.2438, 6.2438, 6.2438 Å; angles 60.00, 60.00, 60.00 degrees
With the nearest neighbours (Å) after each atom.
Fractional positions:
Cs  0.2500  0.2500  0.2500  12 F 3.13
Cs  0.7500  0.7500  0.7500  12 F 3.13
Na  0.5000  0.5000  0.5000  6 F 2.46
Ga  0.0000  0.0000  0.0000  6 F 1.95
F  0.2209  0.7791  0.7791  1 Ga 1.95
F  0.7791  0.2209  0.7791  1 Ga 1.95
F  0.2209  0.7791  0.2209  1 Ga 1.95
F  0.2209  0.2209  0.7791  1 Ga 1.95
F  0.7791  0.7791  0.2209  1 Ga 1.95
F  0.7791  0.2209  0.2209  1 Ga 1.95